Entry from Alexandria via LeMat-Bulk: crystalline LaYTc3 at its relaxed geometry (GGA-PBE). Values from VASP.

The structure in Quantum ESPRESSO input format:
```
&SYSTEM
  ibrav = 0, nat = 5, ntyp = 3
/
ATOMIC_SPECIES
La 138.91 La.upf
Y 88.91 Y.upf
Tc 98.00 Tc.upf
ATOMIC_POSITIONS angstrom
La 0.0000 0.0000 0.0000
Y 2.4100 2.4100 2.4100
Tc 2.4100 0.0000 0.0000
Tc 0.0000 2.4100 0.0000
Tc 0.0000 0.0000 2.4100
CELL_PARAMETERS angstrom
4.8200 0.0000 0.0000
0.0000 4.8200 0.0000
0.0000 0.0000 4.8200
```

Results
- Energy of formation from the pure elements: 1.443 eV/atom
- Size of the total moment: 0.4 μB per formula unit